(1)
Here is a relaxed structure of PmDy7Tl2 from the Alexandria database. Energies are from PBE-GGA.

a = 9.168 Å, b = 15.382 Å, c = 5.448 Å
α = 90.00°, β = 90.00°, γ = 90.00°
Space group Cmmm (No. 65)
Inequivalent atoms, fractional coordinates:
Pm1 0.000 0.000 0.000
Dy1 0.000 0.230 0.000
Dy2 0.000 0.500 0.500
Dy3 0.181 0.121 0.500
Tl1 0.000 0.305 0.500

Output
The energy comes out at -3.81 eV per atom. Its energy relative to the elements is 3.6 eV per formula unit.

=====

(2)
Here is a relaxed structure of Pm5DyTl4 from the Alexandria database. Energies are from PBE-GGA.

a = 3.676 Å, b = 3.676 Å, c = 22.307 Å
α = 90.00°, β = 90.00°, γ = 90.00°
Space group P4/mmm (No. 123)
Inequivalent atoms, fractional coordinates:
Pm1 0.000 0.000 0.000
Pm2 0.000 0.000 0.194
Pm3 0.000 0.000 0.387
Dy1 0.500 0.500 0.500
Tl1 0.500 0.500 0.097
Tl2 0.500 0.500 0.291

Output
For the offset from the most stable computed form, the calculation gives 0.0 kJ/mol of atoms. The energy comes out at -4.07 eV per atom. Its energy relative to the elements is -2.9 eV per formula unit.

=====

(3)
Here is a relaxed structure of PmDy2Tl2 from the Alexandria database. Energies are from PBE-GGA.

a = 5.976 Å, b = 6.242 Å, c = 9.153 Å
α = 100.71°, β = 102.37°, γ = 110.96°
Space group P-1 (No. 2)
Inequivalent atoms, fractional coordinates:
Pm1 0.125 0.170 0.345
Dy1 0.251 0.499 0.750
Dy2 0.365 0.829 0.152
Tl1 0.209 0.241 0.010
Tl2 0.299 0.758 0.486

Output
For the offset from the most stable computed form, the calculation gives 2.4 kJ/mol of atoms. The energy comes out at -4.00 eV per atom. Its energy relative to the elements is -1.3 eV per formula unit.

=====

(4)
Here is a relaxed structure of Pm3Dy6Tl from the Alexandria database. Energies are from PBE-GGA.

a = 12.841 Å, b = 3.517 Å, c = 14.343 Å
α = 90.00°, β = 100.90°, γ = 90.00°
Space group P2_1/m (No. 11)
Inequivalent atoms, fractional coordinates:
Pm1 0.075 0.250 0.102
Pm2 0.368 0.750 0.495
Pm3 0.422 0.250 0.903
Dy1 0.110 0.250 0.462
Dy2 0.191 0.750 0.922
Dy3 0.226 0.750 0.284
Dy4 0.245 0.750 0.689
Dy5 0.342 0.250 0.117
Dy6 0.489 0.250 0.690
Tl1 0.035 0.250 0.724

Output
The energy comes out at -4.41 eV per atom. Its energy relative to the elements is 0.2 eV per formula unit.

=====

(5)
Here is a relaxed structure of Pm3Dy3Tl2 from the Alexandria database. Energies are from PBE-GGA.

a = 4.902 Å, b = 4.941 Å, c = 9.759 Å
α = 90.00°, β = 90.00°, γ = 90.00°
Space group Pmmm (No. 47)
Inequivalent atoms, fractional coordinates:
Pm1 0.000 0.000 0.000
Pm2 0.500 0.000 0.250
Dy1 0.000 0.000 0.500
Dy2 0.500 0.500 0.000
Dy3 0.500 0.500 0.500
Tl1 0.000 0.500 0.254

Output
For the offset from the most stable computed form, the calculation gives 0.0 kJ/mol of atoms. The energy comes out at -4.29 eV per atom. Its energy relative to the elements is -1.5 eV per formula unit.

=====

(6)
Here is a relaxed structure of Pm3Dy3Tl2 from the Alexandria database. Energies are from PBE-GGA.

a = 5.203 Å, b = 12.114 Å, c = 16.092 Å
α = 90.00°, β = 90.00°, γ = 90.00°
Space group Cmcm (No. 63)
Inequivalent atoms, fractional coordinates:
Pm1 0.000 0.042 0.105
Pm2 0.000 0.275 0.250
Dy1 0.000 0.365 0.036
Dy2 0.000 0.444 0.750
Tl1 0.000 0.230 0.631

Output
For the offset from the most stable computed form, the calculation gives 7.6 kJ/mol of atoms. The energy comes out at -4.21 eV per atom. Its energy relative to the elements is -0.9 eV per formula unit.